DFT (PBE) results for Ac6La2PmPr after structural relaxation.

Summary:
Total magnetic moment: 0.00 Bohr magnetons per cell
Formation enthalpy at 0 K: 169 kJ/mol of formula units

a b c (Å): 12.038 7.457 10.033
angles (deg): 90.00 111.12 90.00
Space group C2/m (No. 12)
Unique sites:
Ac: 0.129 0.000 0.416
Ac: 0.195 0.249 0.796
La: 0.050 0.500 0.157
Pm: 0.000 0.500 0.500
Pr: 0.000 0.000 0.000